<A>
# SrTm2Ga, optimized geometry, DFT GGA-PBE
# **Density**: 6.40 g/cm³
data_SrTm2Ga
_chemical_formula_sum 'Sr3 Tm6 Ga3'
_cell_length_a 3.6344
_cell_length_b 3.6344
_cell_length_c 33.6933
_cell_angle_alpha 90.00
_cell_angle_beta 90.00
_cell_angle_gamma 120.00
_symmetry_space_group_name_H-M 'R -3 m'
_symmetry_Int_Tables_number 166
_symmetry_space_group_name_Hall '-R 3 2"'
loop_
_atom_site_label
_atom_site_type_symbol
_atom_site_fract_x
_atom_site_fract_y
_atom_site_fract_z
_atom_site_occupancy
Sr1 Sr 0.0000 0.0000 0.0000 1
Tm1 Tm 0.0000 0.0000 0.1056 1
Ga1 Ga 0.0000 0.0000 0.5000 1

<B>
# SrTm2Ga, optimized geometry, DFT GGA-PBE
# **Density**: 6.71 g/cm³
data_SrTm2Ga
_chemical_formula_sum 'Sr1 Tm2 Ga1'
_cell_length_a 3.590
_cell_length_b 3.590
_cell_length_c 9.510
_cell_angle_alpha 90.00
_cell_angle_beta 90.00
_cell_angle_gamma 90.00
_symmetry_space_group_name_H-M 'P 4/m m m'
_symmetry_Int_Tables_number 123
_symmetry_space_group_name_Hall '-P 4 2'
loop_
_atom_site_label
_atom_site_type_symbol
_atom_site_fract_x
_atom_site_fract_y
_atom_site_fract_z
_atom_site_occupancy
Sr1 Sr 0.000 0.000 0.000 1
Tm1 Tm 0.500 0.500 0.320 1
Ga1 Ga 0.000 0.000 0.500 1

<B> comes first in stability; the runner-up is 19.7 kJ/mol of atoms higher.

<A>
# SrTmGa4, optimized geometry, DFT GGA-PBE
# **Density**: 7.06 g/cm³
data_SrTmGa4
_chemical_formula_sum 'Sr4 Tm4 Ga16'
_cell_length_a 7.957
_cell_length_b 7.957
_cell_length_c 7.957
_cell_angle_alpha 90.00
_cell_angle_beta 90.00
_cell_angle_gamma 90.00
_symmetry_space_group_name_H-M 'F -4 3 m'
_symmetry_Int_Tables_number 216
_symmetry_space_group_name_Hall 'F -4 2 3'
loop_
_atom_site_label
_atom_site_type_symbol
_atom_site_fract_x
_atom_site_fract_y
_atom_site_fract_z
_atom_site_occupancy
Sr1 Sr 0.000 0.000 0.000 1
Tm1 Tm 0.250 0.250 0.750 1
Ga1 Ga 0.125 0.125 0.375 1

<B>
# SrTmGa4, optimized geometry, DFT GGA-PBE
# **Density**: 6.09 g/cm³
data_SrTmGa4
_chemical_formula_sum 'Sr4 Tm4 Ga16'
_cell_length_a 8.295
_cell_length_b 15.889
_cell_length_c 4.429
_cell_angle_alpha 90.00
_cell_angle_beta 90.00
_cell_angle_gamma 90.00
_symmetry_space_group_name_H-M 'P b a m'
_symmetry_Int_Tables_number 55
_symmetry_space_group_name_Hall '-P 2 2ab'
loop_
_atom_site_label
_atom_site_type_symbol
_atom_site_fract_x
_atom_site_fract_y
_atom_site_fract_z
_atom_site_occupancy
Sr1 Sr 0.133 0.149 0.000 1
Tm1 Tm 0.132 0.415 0.000 1
Ga1 Ga 0.010 0.699 0.500 1
Ga2 Ga 0.116 0.551 0.500 1
Ga3 Ga 0.130 0.968 0.500 1
Ga4 Ga 0.202 0.814 0.500 1

<B> comes first in stability; the runner-up is 6.5 kJ/mol of atoms higher.

<A>
# SrVGa3, optimized geometry, DFT GGA-PBE
# **Density**: 5.04 g/cm³
data_SrVGa3
_chemical_formula_sum 'Sr1 V1 Ga3'
_cell_length_a 4.857
_cell_length_b 4.857
_cell_length_c 4.857
_cell_angle_alpha 90.00
_cell_angle_beta 90.00
_cell_angle_gamma 90.00
_symmetry_space_group_name_H-M 'P m -3 m'
_symmetry_Int_Tables_number 221
_symmetry_space_group_name_Hall '-P 4 2 3'
loop_
_atom_site_label
_atom_site_type_symbol
_atom_site_fract_x
_atom_site_fract_y
_atom_site_fract_z
_atom_site_occupancy
Sr1 Sr 0.000 0.000 0.000 1
V1 V 0.500 0.500 0.500 1
Ga1 Ga 0.000 0.500 0.500 1

<B>
# SrVGa3, optimized geometry, DFT GGA-PBE
# **Density**: 3.25 g/cm³
data_SrVGa3
_chemical_formula_sum 'Sr1 V1 Ga3'
_cell_length_a 5.624
_cell_length_b 5.624
_cell_length_c 5.624
_cell_angle_alpha 90.00
_cell_angle_beta 90.00
_cell_angle_gamma 90.00
_symmetry_space_group_name_H-M 'P m -3 m'
_symmetry_Int_Tables_number 221
_symmetry_space_group_name_Hall '-P 4 2 3'
loop_
_atom_site_label
_atom_site_type_symbol
_atom_site_fract_x
_atom_site_fract_y
_atom_site_fract_z
_atom_site_occupancy
Sr1 Sr 0.000 0.000 0.000 1
V1 V 0.500 0.500 0.500 1
Ga1 Ga 0.000 0.000 0.500 1

<A> comes first in stability; the runner-up is 155.7 kJ/mol of atoms higher.

<A>
# Sr3GaW, optimized geometry, DFT GGA-PBE
# **Density**: 3.94 g/cm³
data_Sr3GaW
_chemical_formula_sum 'Sr3 Ga1 W1'
_cell_length_a 6.015
_cell_length_b 6.015
_cell_length_c 6.015
_cell_angle_alpha 90.00
_cell_angle_beta 90.00
_cell_angle_gamma 90.00
_symmetry_space_group_name_H-M 'P m -3 m'
_symmetry_Int_Tables_number 221
_symmetry_space_group_name_Hall '-P 4 2 3'
loop_
_atom_site_label
_atom_site_type_symbol
_atom_site_fract_x
_atom_site_fract_y
_atom_site_fract_z
_atom_site_occupancy
Sr1 Sr 0.000 0.000 0.500 1
Ga1 Ga 0.000 0.000 0.000 1
W1 W 0.500 0.500 0.500 1

<B>
# Sr3GaW, optimized geometry, DFT GGA-PBE
# **Density**: 4.33 g/cm³
data_Sr3GaW
_chemical_formula_sum 'Sr3 Ga1 W1'
_cell_length_a 5.831
_cell_length_b 5.831
_cell_length_c 5.831
_cell_angle_alpha 90.00
_cell_angle_beta 90.00
_cell_angle_gamma 90.00
_symmetry_space_group_name_H-M 'P m -3 m'
_symmetry_Int_Tables_number 221
_symmetry_space_group_name_Hall '-P 4 2 3'
loop_
_atom_site_label
_atom_site_type_symbol
_atom_site_fract_x
_atom_site_fract_y
_atom_site_fract_z
_atom_site_occupancy
Sr1 Sr 0.000 0.000 0.500 1
Ga1 Ga 0.500 0.500 0.500 1
W1 W 0.000 0.000 0.000 1

<B> comes first in stability; the runner-up is 5.2 kJ/mol of atoms higher.

<A>
# SrYGa, optimized geometry, DFT GGA-PBE
# **Density**: 4.06 g/cm³
data_SrYGa
_chemical_formula_sum 'Sr2 Y2 Ga2'
_cell_length_a 4.143
_cell_length_b 3.866
_cell_length_c 12.744
_cell_angle_alpha 90.00
_cell_angle_beta 99.10
_cell_angle_gamma 90.00
_symmetry_space_group_name_H-M 'P 1 m 1'
_symmetry_Int_Tables_number 6
_symmetry_space_group_name_Hall 'P -2y'
loop_
_atom_site_label
_atom_site_type_symbol
_atom_site_fract_x
_atom_site_fract_y
_atom_site_fract_z
_atom_site_occupancy
Sr1 Sr 0.000 0.000 0.000 1
Sr2 Sr 0.370 0.500 0.729 1
Y1 Y 0.237 0.500 0.456 1
Y2 Y 0.647 0.000 0.274 1
Ga1 Ga 0.119 0.500 0.215 1
Ga2 Ga 0.787 0.000 0.559 1

<B>
# SrYGa, optimized geometry, DFT GGA-PBE
# **Density**: 4.42 g/cm³
data_SrYGa
_chemical_formula_sum 'Sr4 Y4 Ga4'
_cell_length_a 3.918
_cell_length_b 17.028
_cell_length_c 5.545
_cell_angle_alpha 90.00
_cell_angle_beta 90.00
_cell_angle_gamma 90.00
_symmetry_space_group_name_H-M 'C m c m'
_symmetry_Int_Tables_number 63
_symmetry_space_group_name_Hall '-C 2c 2'
loop_
_atom_site_label
_atom_site_type_symbol
_atom_site_fract_x
_atom_site_fract_y
_atom_site_fract_z
_atom_site_occupancy
Sr1 Sr 0.000 0.073 0.250 1
Y1 Y 0.000 0.224 0.750 1
Ga1 Ga 0.000 0.405 0.250 1

<A> comes first in stability; the runner-up is 0.6 kJ/mol of atoms higher.